PBE RbPuMn2Te4, optimized geometry; Fermi-level density of states = 15.44 states/eV per cell; calculated total energy = -49.0 eV/cell; formation energy without anion corrections = -354.6 meV/atom; mass density = 5.0 g/cm3
1.0
-3.912 6.173 0.020
-7.689 -0.552 1.497
-3.394 2.153 6.746
Te Pu Mn Rb
4 1 2 1
Cartesian
-4.492 3.895 3.893
-8.787 1.171 4.362
-8.622 5.064 6.670
-8.089 5.418 1.602
-7.497 3.887 4.132
-3.746 1.945 2.063
-11.248 5.829 6.200
0.000 0.000 0.000